The following is a DFT calculation (GGA-PBE) of a relaxed structure of NdZnCd2.

Cell lengths 5.049, 5.049, 5.051 Å; angles 90.07, 119.96, 119.95 degrees
Element x y z (fractional)
Nd1 0.125 0.312 0.437
Zn1 0.625 0.562 0.187
Cd1 0.125 0.813 0.938
Cd2 0.625 0.063 0.688

Summary:
Formation energy from the elements in meV per atom: -293
Total moment in μB per formula unit: 0.0
Density in g cm⁻³: 7.92
VASP energy in eV per atom: -2.26
SG: I-4m2, No. 119